Compound: LiCd3Re
Source: Alexandria
Functional: GGA-PBE
Structure: optimized geometry

The structure in extended XYZ format:
```
5
Lattice="4.5403 0.0000 0.0000 0.0000 4.5403 0.0000 0.0000 0.0000 4.5403" Properties=species:S:1:pos:R:3 pbc="T T T"
Li 0.0000 0.0000 0.0000
Cd 2.2701 0.0000 0.0000
Cd 0.0000 2.2701 0.0000
Cd 0.0000 0.0000 2.2701
Re 2.2701 2.2701 2.2701
```

Output
**E above lowest polymorph**: 232.7 meV per atom
**DOS at the Fermi energy**: 0.362 states/eV per atom
**Density**: 9.41 Mg/m³
**Energy of formation**: 1.065 eV/atom
**Magnetization**: 1.80 μB/cell

Compound: LaTaB3
Source: Alexandria
Functional: GGA-PBE
Structure: optimized geometry

The structure in extended XYZ format:
```
5
Lattice="-0.7169 -2.3958 3.5587 3.9139 1.1120 1.5371 -1.7565 3.4557 1.9726" Properties=species:S:1:pos:R:3 pbc="T T T"
Ta 0.0000 0.0000 0.0000
B -0.3584 -1.1979 1.7793
B -0.8782 1.7278 0.9863
B 1.9570 0.5560 0.7685
La 0.7203 1.0859 3.5342
```

Output
**E above lowest polymorph**: 0.0 meV per atom
**DOS at the Fermi energy**: 0.323 states/eV per atom
**Density**: 7.11 Mg/m³
**Energy of formation**: 0.252 eV/atom
**Magnetization**: 0.00 μB/cell

Compound: TiCuAs2Se
Source: Alexandria
Functional: GGA-PBE
Structure: optimized geometry

The structure in extended XYZ format:
```
5
Lattice="-3.9774 2.1753 1.8177 -0.2278 -3.3670 3.5309 2.8147 2.7797 2.8323" Properties=species:S:1:pos:R:3 pbc="T T T"
As -0.1139 -1.6835 1.7654
As -1.9887 1.0877 0.9089
Ti 0.0000 0.0000 0.0000
Se 1.4073 1.3899 1.4162
Cu -0.6953 0.7940 4.0905
```

Output
**E above lowest polymorph**: 0.0 meV per atom
**Formation energy without anion corrections**: 0.312 eV/atom
**DOS at the Fermi energy**: 0.728 states/eV per atom
**Density**: 4.87 Mg/m³
**Magnetization**: 0.00 μB/cell

Compound: MoIrBr
Source: Alexandria
Functional: GGA-PBE
Structure: optimized geometry

The structure in extended XYZ format:
```
3
Lattice="-2.5045 0.8829 -7.3913 -4.5960 -0.5750 -6.0033 -0.2695 2.8596 -0.4205" Properties=species:S:1:pos:R:3 pbc="T T T"
Mo -2.5158 2.0205 -4.6869
Br -6.9989 0.3459 -13.2015
Ir -4.9558 1.1090 -9.3211
```

Output
**E above lowest polymorph**: 353.2 meV per atom
**Formation energy without anion corrections**: 0.689 eV/atom
**DOS at the Fermi energy**: 0.978 states/eV per atom
**Density**: 11.23 Mg/m³
**Magnetization**: 0.00 μB/cell

Compound: Pr5InRh2
Source: Alexandria
Functional: GGA-PBE
Structure: optimized geometry

The structure in extended XYZ format:
```
16
Lattice="7.2969 0.0000 -3.4445 -1.6260 7.1134 -3.4445 -0.1838 -0.2306 9.0617" Properties=species:S:1:pos:R:3 pbc="T T T"
Rh 4.4185 0.9659 -2.6577
Rh 0.3986 2.5908 -1.7223
Rh 1.2524 6.1475 -4.2314
Rh 5.2723 4.5226 -5.1668
Pr 2.5757 4.8321 2.3841
Pr 0.8219 5.6074 -1.3311
Pr 2.9114 2.0507 -0.2115
Pr 2.8355 3.5567 -3.4445
Pr 4.6652 1.2754 3.5038
Pr -0.7883 3.5877 4.7090
Pr 1.3012 0.0310 5.8287
Pr 0.0000 0.0000 0.0000
Pr 4.1859 6.8519 -3.6560
Pr 6.2754 3.2952 -2.5363
In 1.3258 1.6631 2.8086
In 4.1613 5.2198 -0.6359
```

Output
**DOS at the Fermi energy**: 1.207 states/eV per atom
**Density**: 7.42 Mg/m³
**Energy of formation**: -0.502 eV/atom
**Magnetization**: 0.00 μB/cell

Compound: Os2RuCl
Source: Alexandria
Functional: GGA-PBE
Structure: optimized geometry

The structure in extended XYZ format:
```
4
Lattice="-4.4015 -1.0200 0.0558 -3.3419 -1.9078 -2.3683 1.1936 -5.8737 2.6730" Properties=species:S:1:pos:R:3 pbc="T T T"
Cl -0.0919 -1.6741 0.5730
Ru -3.4869 -4.9865 0.3021
Os -5.4322 -6.8339 0.1284
Os 0.3798 -5.5817 2.2103
```

Output
**E above lowest polymorph**: 175.3 meV per atom
**Formation energy without anion corrections**: 0.682 eV/atom
**DOS at the Fermi energy**: 1.174 states/eV per atom
**Density**: 10.91 Mg/m³
**Magnetization**: 0.00 μB/cell

Compound: CdCI2O
Source: Alexandria
Functional: GGA-PBE
Structure: optimized geometry

The structure in extended XYZ format:
```
5
Lattice="5.8566 0.0000 0.0000 0.0000 5.8566 0.0000 0.0000 0.0000 4.0318" Properties=species:S:1:pos:R:3 pbc="T T T"
O 0.0000 0.0000 2.0159
C 2.9283 2.9283 2.0159
Cd 0.0000 0.0000 0.0000
I 2.9283 0.0000 0.0000
I 0.0000 2.9283 0.0000
```

Output
**E above lowest polymorph**: 750.7 meV per atom
**Formation energy without anion corrections**: 1.528 eV/atom
**DOS at the Fermi energy**: 2.203 states/eV per atom
**Density**: 4.73 Mg/m³
**Magnetization**: 0.00 μB/cell

Compound: Sm2SnI
Source: Alexandria
Functional: GGA-PBE
Structure: optimized geometry

The structure in extended XYZ format:
```
4
Lattice="-0.8421 -4.2376 1.4052 1.2775 -3.5354 -2.5515 6.6717 -2.7372 3.0882" Properties=species:S:1:pos:R:3 pbc="T T T"
Sn 0.0000 0.0000 0.0000
I 3.5535 -5.2551 0.9709
Sm 5.5516 -7.8876 1.5741
Sm 1.5554 -2.6226 0.3678
```

Output
**E above lowest polymorph**: 6.8 meV per atom
**Formation energy without anion corrections**: -0.839 eV/atom
**DOS at the Fermi energy**: 0.531 states/eV per atom
**Density**: 6.86 Mg/m³
**Magnetization**: 0.00 μB/cell

Compound: In2AsSe
Source: Alexandria
Functional: GGA-PBE
Structure: optimized geometry

The structure in extended XYZ format:
```
8
Lattice="6.3814 0.0000 0.0000 0.0000 6.3814 0.0000 3.1907 3.1907 6.4053" Properties=species:S:1:pos:R:3 pbc="T T T"
As 3.1907 3.1907 0.0000
As 3.1907 6.3814 3.2027
In 4.7861 4.8659 4.8040
In 4.7062 1.5954 1.6013
In 7.9768 7.8969 4.8040
In 1.6752 4.7861 1.6013
Se 0.0000 0.0000 0.0000
Se 6.3814 3.1907 3.2027
```

Output
**E above lowest polymorph**: 44.2 meV per atom
**Formation energy without anion corrections**: -0.245 eV/atom
**DOS at the Fermi energy**: 0.388 states/eV per atom
**Density**: 4.88 Mg/m³
**Magnetization**: 0.00 μB/cell

Compound: RhSeF2
Source: Alexandria
Functional: GGA-PBE
Structure: optimized geometry

The structure in extended XYZ format:
```
4
Lattice="0.3168 7.9644 2.6311 2.4742 7.9839 0.7687 -0.1965 8.3903 -0.1399" Properties=species:S:1:pos:R:3 pbc="T T T"
Rh 1.2973 12.1693 1.6299
F 0.2055 1.9282 0.2582
F 2.3890 22.4104 3.0016
Se 0.0000 0.0000 0.0000
```

Output
**E above lowest polymorph**: 151.4 meV per atom
**Formation energy without anion corrections**: -0.413 eV/atom
**DOS at the Fermi energy**: 0.762 states/eV per atom
**Density**: 6.31 Mg/m³
**Magnetization**: 1.62 μB/cell

Compound: TeAs2Pb
Source: Alexandria
Functional: GGA-PBE
Structure: optimized geometry

The structure in extended XYZ format:
```
4
Lattice="-3.8292 0.4666 1.0487 0.0757 -3.6541 1.9023 1.9835 3.0904 5.8677" Properties=species:S:1:pos:R:3 pbc="T T T"
As 0.1594 -2.5815 1.7306
As 0.9459 -1.3545 4.0567
Pb -1.3998 0.0924 2.4668
Te -0.3702 -0.1895 6.3518
```

Output
**E above lowest polymorph**: 239.3 meV per atom
**Formation energy without anion corrections**: 0.181 eV/atom
**DOS at the Fermi energy**: 0.462 states/eV per atom
**Density**: 7.06 Mg/m³
**Magnetization**: 0.00 μB/cell

Compound: Ac7Y2Tm2
Source: Alexandria
Functional: GGA-PBE
Structure: optimized geometry

The structure in extended XYZ format:
```
11
Lattice="9.2975 0.1411 -2.0174 0.0174 10.2995 0.0798 -2.7810 -0.0350 5.3873" Properties=species:S:1:pos:R:3 pbc="T T T"
Tm 4.7982 5.1811 2.5165
Tm 1.7357 5.2246 0.9332
Ac 1.8583 3.5350 4.3925
Ac 7.9134 7.2653 0.7238
Ac -1.3795 3.1404 2.7259
Ac 4.6756 6.8707 -0.9428
Ac 0.0000 0.0000 0.0000
Ac 3.2149 1.8131 1.6702
Ac 3.3190 8.5926 1.7796
Y 6.0895 0.1124 -0.2612
Y 0.4444 10.2932 3.7109
```

Output
**DOS at the Fermi energy**: 1.466 states/eV per atom
**Density**: 7.63 Mg/m³
**Energy of formation**: 0.204 eV/atom
**Magnetization**: 0.00 μB/cell

Compound: La2HoCoC2
Source: Alexandria
Functional: GGA-PBE
Structure: optimized geometry

The structure in extended XYZ format:
```
12
Lattice="3.7525 0.0000 0.0000 0.0000 5.6738 0.0000 0.0000 0.0000 11.3699" Properties=species:S:1:pos:R:3 pbc="T T T"
La 1.8762 5.5221 9.0692
La 0.0000 2.9886 3.3842
La 0.0000 2.6852 7.9857
La 1.8762 0.1517 2.3008
C 1.8762 4.3212 4.5369
C 0.0000 4.1895 10.2218
C 0.0000 1.4843 1.1481
C 1.8762 1.3526 6.8330
Ho 1.8762 2.8369 0.0000
Ho 0.0000 0.0000 5.6850
Co 0.0000 0.0000 0.0000
Co 1.8762 2.8369 5.6850
```

Output
**DOS at the Fermi energy**: 0.863 states/eV per atom
**Density**: 7.21 Mg/m³
**Energy of formation**: -0.025 eV/atom
**Magnetization**: 3.14 μB/cell